Entry 1:
A plane-wave DFT calculation with PBE was carried out for an optimized crystal structure of Ta4BiN3.

a = 3.2088 Å, b = 3.2088 Å, c = 25.3383 Å
α = 90.00°, β = 90.00°, γ = 120.00°
With the nearest neighbours (Å) after each atom.
Space group P6_3/mmc (No. 194)
Inequivalent atoms, fractional coordinates:
Ta 0.0000 0.0000 0.1409 (multiplicity 4)  3 N 2.13
Ta 0.3333 0.6667 0.0521 (multiplicity 4)  6 N 2.20-2.28
Bi 0.3333 0.6667 0.2500 (multiplicity 2)  6 Bi 3.21, 6 Ta 3.33
N 0.0000 0.0000 0.0000 (multiplicity 2)  6 Ta 2.28
N 0.3333 0.6667 0.5990 (multiplicity 4)  6 Ta 2.13-2.20

---

Entry 2:
A plane-wave DFT calculation with PBE was carried out for an optimized crystal structure of HfFeNiBi.

a = 6.5224 Å, b = 6.5224 Å, c = 6.5224 Å
α = 90.00°, β = 90.00°, γ = 90.00°
With the nearest neighbours (Å) after each atom.
Space group F-43m (No. 216)
Inequivalent atoms, fractional coordinates:
Hf 0.0000 0.0000 0.0000 (multiplicity 4)  4 Ni 2.82, 4 Bi 2.82
Fe 0.0000 0.0000 0.5000 (multiplicity 4)  4 Bi 2.82, 4 Ni 2.82
Ni 0.2500 0.2500 0.7500 (multiplicity 4)  4 Fe 2.82, 4 Hf 2.82
Bi 0.2500 0.2500 0.2500 (multiplicity 4)  4 Hf 2.82, 4 Fe 2.82

Calculated values
Excess energy over the best structure of this formula in the dataset   0.260 eV/atom

---

Entry 3:
A plane-wave DFT calculation with PBE was carried out for an optimized crystal structure of Li4Zn2AgPt.

a = 4.3404 Å, b = 4.3404 Å, c = 6.1430 Å
α = 90.00°, β = 90.00°, γ = 90.00°
With the nearest neighbours (Å) after each atom.
Space group P-4m2 (No. 115)
Inequivalent atoms, fractional coordinates:
Li 0.0000 0.0000 0.0000 (multiplicity 1)  4 Zn 2.60, 4 Li 2.63
Li 0.0000 0.5000 0.2433 (multiplicity 2)  4 Li 2.63-2.68, 2 Pt 2.63, 2 Ag 2.68, 1 Zn 2.93
Li 0.5000 0.5000 0.5000 (multiplicity 1)  4 Li 2.68, 4 Zn 2.72
Zn 0.0000 0.5000 0.7657 (multiplicity 2)  4 Li 2.60-2.72, 2 Pt 2.60, 2 Ag 2.72
Ag 0.0000 0.0000 0.5000 (multiplicity 1)  4 Li 2.68, 4 Zn 2.72
Pt 0.5000 0.5000 0.0000 (multiplicity 1)  4 Zn 2.60, 4 Li 2.63

---

Entry 4:
A plane-wave DFT calculation with PBE was carried out for an optimized crystal structure of PrGaSnTe3.

a = 4.4711 Å, b = 15.2204 Å, c = 11.0685 Å
α = 90.00°, β = 90.00°, γ = 90.00°
With the nearest neighbours (Å) after each atom.
Space group Cmcm (No. 63)
Inequivalent atoms, fractional coordinates:
Pr 0.0000 0.0000 0.0000 (multiplicity 4)  6 Te 3.23-3.25, 4 Ga 3.58
Ga 0.0000 0.4721 0.2500 (multiplicity 4)  4 Te 2.89-3.06
Sn 0.0000 0.2450 0.7500 (multiplicity 4)  6 Te 3.15-3.46
Te 0.0000 0.1096 0.2500 (multiplicity 4)  2 Ga 3.06, 2 Sn 3.15, 2 Pr 3.23
Te 0.0000 0.3498 0.0506 (multiplicity 8)  1 Ga 2.89

---

Entry 5:
A plane-wave DFT calculation with PBE was carried out for an optimized crystal structure of Mg2Ag.

a = 3.1904 Å, b = 15.1783 Å, c = 4.8386 Å
α = 90.00°, β = 90.00°, γ = 90.00°
With the nearest neighbours (Å) after each atom.
Space group Cmcm (No. 63)
Inequivalent atoms, fractional coordinates:
Mg 0.0000 0.0898 0.2500 (multiplicity 4)  6 Ag 2.85-2.92, 2 Mg 3.14
Mg 0.0000 0.2218 0.7500 (multiplicity 4)  2 Ag 2.86, 8 Mg 3.02-3.19
Ag 0.0000 0.4343 0.2500 (multiplicity 4)  8 Mg 2.85-2.92, 2 Ag 3.14

---

Entry 6:
A plane-wave DFT calculation with PBE was carried out for an optimized crystal structure of PrHgTeO.

a = 5.8713 Å, b = 5.8885 Å, c = 12.2214 Å
α = 90.04°, β = 102.42°, γ = 90.00°
With the nearest neighbours (Å) after each atom.
Space group P1 (No. 1)
Inequivalent atoms, fractional coordinates:
Pr 0.0000 0.0000 0.0000 (multiplicity 1)  4 O 2.37-2.38
Pr 0.0872 0.5003 0.1934 (multiplicity 1)  4 O 2.37-2.38
Pr 0.4998 0.4805 0.0000 (multiplicity 1)  4 O 2.37-2.39
Pr 0.5875 0.9808 0.1935 (multiplicity 1)  4 O 2.37-2.39
Hg 0.2805 0.6212 0.5061 (multiplicity 1)  1 Hg 2.67, 1 Te 2.81
Hg 0.3136 0.3609 0.6876 (multiplicity 1)  1 Hg 2.67, 1 Te 2.81
Hg 0.7805 0.8606 0.5056 (multiplicity 1)  1 Hg 2.67, 1 Te 2.81
Hg 0.8140 0.1175 0.6885 (multiplicity 1)  1 Hg 2.67, 1 Te 2.81
Te 0.1579 0.9881 0.3585 (multiplicity 1)  1 Hg 2.81
Te 0.4293 0.9931 0.8350 (multiplicity 1)  1 Hg 2.81
Te 0.6572 0.4934 0.3579 (multiplicity 1)  1 Hg 2.81
Te 0.9297 0.4868 0.8354 (multiplicity 1)  1 Hg 2.81
O 0.2905 0.7406 0.0914 (multiplicity 1)  4 Pr 2.37-2.39
O 0.2968 0.2404 0.1022 (multiplicity 1)  4 Pr 2.37-2.38
O 0.7904 0.7405 0.0912 (multiplicity 1)  4 Pr 2.37-2.38
O 0.7967 0.2405 0.1021 (multiplicity 1)  4 Pr 2.37-2.39

Calculated values
Excess energy over the best structure of this formula in the dataset   0.000 eV/atom

---

Entry 7:
A plane-wave DFT calculation with PBE was carried out for an optimized crystal structure of SrErGa4Au2.

a = 6.7593 Å, b = 4.5929 Å, c = 10.4708 Å
α = 90.00°, β = 90.00°, γ = 90.00°
With the nearest neighbours (Å) after each atom.
Space group Amm2 (No. 38)
Inequivalent atoms, fractional coordinates:
Sr 0.0000 0.0000 0.0000 (multiplicity 2)  3 Au 3.06-3.17, 6 Ga 3.12-3.31
Er 0.5000 0.0000 0.8121 (multiplicity 2)  6 Ga 3.06-3.20, 3 Au 3.10-3.13
Ga 0.2021 0.0000 0.2883 (multiplicity 4)  2 Ga 2.66-2.73, 3 Au 2.76-2.80
Ga 0.3078 0.0000 0.5329 (multiplicity 4)  2 Ga 2.60-2.66, 3 Au 2.76-2.77
Au 0.0000 0.0000 0.7080 (multiplicity 2)  6 Ga 2.77-2.80, 1 Sr 3.06
Au 0.5000 0.0000 0.1086 (multiplicity 2)  6 Ga 2.76

---

Entry 8:
A plane-wave DFT calculation with PBE was carried out for an optimized crystal structure of AcAlIr.

a = 7.0378 Å, b = 7.0378 Å, c = 7.0378 Å
α = 90.00°, β = 90.00°, γ = 90.00°
With the nearest neighbours (Å) after each atom.
Space group F-43m (No. 216)
Inequivalent atoms, fractional coordinates:
Ac 0.0000 0.0000 0.0000 (multiplicity 4)  4 Ir 3.05, 4 Al 3.05
Al 0.2500 0.2500 0.7500 (multiplicity 4)  4 Ac 3.05
Ir 0.2500 0.2500 0.2500 (multiplicity 4)  4 Ac 3.05

Calculated values
Excess energy over the best structure of this formula in the dataset   1.293 eV/atom

---

no.,calculated total energy (eV per cell)
1,-160.2
2,-107.0
3,-22.1
4,-98.5
5,-25.5
6,-80.7
7,-59.0
8,-60.2